1.
# Sr2YCo PBE-GGA optimized geometry
# - volume (Å³ per atom) = 34.315
# - energy above the lowest structure with this stoichiometry (eV per atom) = 0.3919
# - total magnetic moment (μB per atom) = 0.44
data_Sr2YCo
_symmetry_space_group_name_H-M 'R -3 m'
_symmetry_Int_Tables_number 166
_symmetry_space_group_name_Hall '-R 3 2"'
_cell_length_a 3.8450
_cell_length_b 3.8450
_cell_length_c 32.1623
_cell_angle_alpha 90.00
_cell_angle_beta 90.00
_cell_angle_gamma 120.00
loop_
_atom_site_label
_atom_site_fract_x
_atom_site_fract_y
_atom_site_fract_z
Sr1 0.0000 0.0000 0.2285
Y1 0.0000 0.0000 0.0000
Co1 0.0000 0.0000 0.5000



2.
# MgCdSi2 PBE-GGA optimized geometry
# - volume (Å³ per atom) = 18.922
# - energy above the lowest structure with this stoichiometry (eV per atom) = 0.0191
# - total magnetic moment (μB per atom) = 0.00
data_MgCdSi2
_symmetry_space_group_name_H-M 'P 1 m 1'
_symmetry_Int_Tables_number 6
_cell_length_a 3.020
_cell_length_b 3.928
_cell_length_c 6.554
_cell_angle_alpha 90.00
_cell_angle_beta 103.17
_cell_angle_gamma 90.00
loop_
_symmetry_equiv_pos_as_xyz
'x,y,z'
'x,-y,z'
loop_
_atom_site_label
_atom_site_fract_x
_atom_site_fract_y
_atom_site_fract_z
Mg1 0.000 0.000 0.000
Cd1 0.357 0.500 0.708
Si1 0.601 0.500 0.205
Si2 0.718 0.000 0.446



3.
# Pm5Mg2Sn5 PBE-GGA optimized geometry
# - volume (Å³ per atom) = 27.749
# - total magnetic moment (μB per atom) = 0.00
# - calculated total energy (eV/atom) = -4.54
data_Pm5Mg2Sn5
_symmetry_space_group_name_H-M 'C 1 2/m 1'
_symmetry_Int_Tables_number 12
_cell_length_a 16.516
_cell_length_b 4.789
_cell_length_c 10.735
_cell_angle_alpha 90.00
_cell_angle_beta 128.33
_cell_angle_gamma 90.00
loop_
_symmetry_equiv_pos_as_xyz
'x,y,z'
'-x,-y,-z'
'-x,y,-z'
'x,-y,z'
'x+1/2,y+1/2,z'
'-x+1/2,-y+1/2,-z'
'-x+1/2,y+1/2,-z'
'x+1/2,-y+1/2,z'
loop_
_atom_site_label
_atom_site_fract_x
_atom_site_fract_y
_atom_site_fract_z
Pm1 0.000 0.000 0.000
Pm2 0.098 0.000 0.419
Pm3 0.191 0.000 0.832
Mg1 0.147 0.500 0.260
Sn1 0.000 0.500 0.500
Sn2 0.067 0.500 0.866
Sn3 0.242 0.500 0.675



4.
# Fe2CuRu PBE-GGA optimized geometry
# - volume (Å³ per atom) = 12.353
# - energy above the lowest structure with this stoichiometry (eV per atom) = 0.0178
# - total magnetic moment (μB per atom) = 1.08
data_Fe2CuRu
_symmetry_space_group_name_H-M 'P m m m'
_symmetry_Int_Tables_number 47
_cell_length_a 2.606
_cell_length_b 3.701
_cell_length_c 5.121
_cell_angle_alpha 90.00
_cell_angle_beta 90.00
_cell_angle_gamma 90.00
loop_
_symmetry_equiv_pos_as_xyz
'x,y,z'
'-x,-y,-z'
'-x,-y,z'
'x,y,-z'
'x,-y,-z'
'-x,y,z'
'-x,y,-z'
'x,-y,z'
loop_
_atom_site_label
_atom_site_fract_x
_atom_site_fract_y
_atom_site_fract_z
Fe1 0.000 0.000 0.248
Cu1 0.500 0.500 0.500
Ru1 0.500 0.500 0.000